[1]
DFT (PBE) results for Li2CdReTe after structural relaxation.

Cell lengths 5.2411, 4.9651, 5.2411 Å; angles 90.00, 90.00, 90.00 degrees
Element x y z (fractional)
Re 0.0000 0.0000 0.0000
Te 0.0000 0.5000 0.0000
Li 0.0000 0.0000 0.5000
Li 0.5000 0.0000 0.0000
Cd 0.5000 0.5000 0.5000

SG = No. 123
E = -17.01 eV for the cell shown
ΔE_f (raw) = 0.665 eV/atom


[2]
DFT (PBE) results for LiTlCd2Re after structural relaxation.

Cell lengths 5.2833, 5.2678, 5.2833 Å; angles 90.00, 90.00, 90.00 degrees
Element x y z (fractional)
Re 0.0000 0.0000 0.0000
Tl 0.0000 0.5000 0.0000
Li 0.5000 0.5000 0.5000
Cd 0.0000 0.0000 0.5000
Cd 0.5000 0.0000 0.0000

SG = No. 123
E_form = 0.708 eV per atom
E = -15.02 eV for the cell shown


[3]
DFT (PBE) results for LiZn2CdRe after structural relaxation.

Cell lengths 4.9231, 5.2565, 4.9231 Å; angles 90.00, 90.00, 90.00 degrees
Element x y z (fractional)
Re 0.0000 0.5000 0.0000
Zn 0.0000 0.0000 0.5000
Zn 0.5000 0.0000 0.0000
Li 0.5000 0.5000 0.5000
Cd 0.0000 0.0000 0.0000

SG = No. 123
E_form = 1.347 eV per atom
E = -11.09 eV for the cell shown


[4]
DFT (PBE) results for Li2CdRh after structural relaxation.

Cell lengths 2.8357, 2.8357, 9.3552 Å; angles 81.28, 81.28, 60.00 degrees
Element x y z (fractional)
Li 0.0727 0.0727 0.7818
Li 0.2605 0.2605 0.2184
Cd 0.5002 0.5002 0.4994
Rh 0.6665 0.6665 0.0004

SG = No. 160
E_form = -0.109 eV per atom
E = -12.53 eV for the cell shown


[5]
DFT (PBE) results for Li5CdRh after structural relaxation.

Cell lengths 3.7651, 3.7651, 8.3827 Å; angles 90.00, 90.00, 90.00 degrees
Element x y z (fractional)
Li 0.5000 0.0000 0.2707
Li 0.0000 0.5000 0.2707
Li 0.0000 0.0000 0.5000
Li 0.0000 0.5000 0.7293
Li 0.5000 0.0000 0.7293
Cd 0.0000 0.0000 0.0000
Rh 0.5000 0.5000 0.5000

SG = No. 123
E_form = -0.045 eV per atom
E = -18.15 eV for the cell shown


[6]
DFT (PBE) results for LiCd2Rh2 after structural relaxation.

Cell lengths 5.0953, 5.0953, 5.3646 Å; angles 61.65, 61.65, 90.00 degrees
Element x y z (fractional)
Li 0.0000 0.0000 0.0000
Rh 0.3492 0.3492 0.3016
Rh 0.6508 0.6508 0.6984
Cd 0.7500 0.2500 0.5000
Cd 0.2500 0.7500 0.5000

SG = No. 139
E_form = 0.217 eV per atom
E = -17.36 eV for the cell shown
Distance to the lowest polymorph of the same formula = 0.342 eV per atom


[7]
DFT (PBE) results for Li3Cd3Rh after structural relaxation.

Cell lengths 7.5411, 7.5411, 7.3299 Å; angles 59.04, 59.04, 60.00 degrees
Element x y z (fractional)
Li 0.5243 0.7630 0.6452
Li 0.7630 0.0675 0.6452
Li 0.0675 0.5243 0.6452
Li 0.9325 0.4757 0.3548
Li 0.2370 0.9325 0.3548
Li 0.4757 0.2370 0.3548
Cd 0.2663 0.6531 0.1537
Cd 0.9269 0.2663 0.1537
Cd 0.6531 0.9269 0.1537
Cd 0.3469 0.0731 0.8463
Cd 0.0731 0.7337 0.8463
Cd 0.7337 0.3469 0.8463
Rh 0.3216 0.3216 0.0351
Rh 0.6784 0.6784 0.9649

SG = No. 148
E_form = -0.069 eV per atom
E = -32.64 eV for the cell shown
Distance to the lowest polymorph of the same formula = 0.090 eV per atom


[8]
DFT (PBE) results for Li3Cd4Rh after structural relaxation.

Cell lengths 4.6143, 4.6145, 7.3556 Å; angles 108.29, 108.28, 90.00 degrees
Element x y z (fractional)
Cd 0.3771 0.3772 0.7542
Cd 0.6229 0.6228 0.2458
Cd 0.1229 0.1235 0.2458
Cd 0.8771 0.8765 0.7542
Rh 0.5000 0.0000 0.0000
Li 0.0000 0.5000 0.0000
Li 0.7407 0.2404 0.4815
Li 0.2593 0.7596 0.5185

SG = No. 139
E_form = -0.255 eV per atom
E = -18.79 eV for the cell shown


Number 1: ρ 5.36 g/cm³. Number 2: ρ 7.03 g/cm³. Number 3: ρ 5.69 g/cm³. Number 4: ρ 5.93 g/cm³. Number 5: ρ 3.49 g/cm³. Number 6: ρ 7.04 g/cm³. Number 7: ρ 5.27 g/cm³. Number 8: ρ 6.78 g/cm³.